DFT (PBE) results for a relaxed structure of Nd2Dy5Tm4.

Output
SG: C2/m, No. 12
energy of formation from the pure elements: 0.154 eV/atom
distance to the lowest polymorph of the same formula: 0.0 meV/atom
DOS at the Fermi energy: 17.71 states/eV per cell
density: 8.31 g/cm3

Geometry as extended XYZ:
```
11
Lattice="5.5112 -3.6591 0.0000 5.5112 3.6591 0.0000 -2.8101 0.0000 8.8010" Properties=species:S:1:pos:R:3 pbc="T T T"
Nd 1.2699 0.0000 1.0906
Nd 6.9423 0.0000 7.7105
Dy -1.4050 0.0000 4.4005
Dy 4.1450 1.5986 1.9630
Dy 4.0672 1.5986 6.8380
Dy 4.1450 -1.5986 1.9630
Dy 4.0672 -1.5986 6.8380
Tm 2.1433 0.0000 4.4238
Tm 1.1772 0.0000 7.7060
Tm 7.0350 0.0000 1.0950
Tm 6.0689 0.0000 4.3772
```